This record from the Alexandria database describes crystalline Ac4Ga3NiO12 at its relaxed geometry. The functional is PBE with a Hubbard U.

The structure in CIF format:
```
data_Ac4Ga3NiO12
_chemical_formula_sum 'Ac4 Ga3 Ni1 O12'
_cell_length_a 6.879
_cell_length_b 6.879
_cell_length_c 6.879
_cell_angle_alpha 109.47
_cell_angle_beta 109.47
_cell_angle_gamma 109.47
_symmetry_space_group_name_H-M 'P 1'
_symmetry_Int_Tables_number 1
loop_
_symmetry_equiv_pos_as_xyz
'x,y,z'
loop_
_atom_site_label
_atom_site_type_symbol
_atom_site_fract_x
_atom_site_fract_y
_atom_site_fract_z
Ac1 Ac 0.500 0.500 0.500
O1 O 0.250 0.500 0.750
O2 O 0.252 0.000 0.252
O3 O 0.000 0.748 0.748
O4 O 0.250 0.750 0.500
O5 O 0.500 0.250 0.750
O6 O 0.750 0.250 0.500
O7 O 0.500 0.750 0.250
Ga1 Ga 0.000 0.500 0.500
O8 O 0.748 0.748 0.000
O9 O 0.748 0.000 0.748
Ac2 Ac 0.000 0.500 0.000
Ga2 Ga 0.500 0.000 0.500
Ga3 Ga 0.500 0.500 0.000
Ac3 Ac 0.500 0.000 0.000
Ac4 Ac 0.000 0.000 0.500
Ni1 Ni 0.000 0.000 0.000
O10 O 0.750 0.500 0.250
O11 O 0.000 0.252 0.252
O12 O 0.252 0.252 0.000
```

Properties
* calculated total energy: -6.880 eV per atom